1.
# Sm3HfAg3Se8

Crystalline Sm3HfAg3Se8 at its relaxed geometry (PBE-GGA, Alexandria).

Results
Final energy ... -5.216 eV per atom
Space-group type ... C2/m
Uncorrected formation energy ... -1.180 eV per atom
Crystal system ... monoclinic
Total moment ... 0.00 μB per cell

abc: 8.3553 8.3543 8.1660
angles: 120.97 90.00 120.00
Last column: nearest neighbours and their distance in Å.
Atoms (fractional coordinates):
Sm 0.5000 0.0000 0.5000  6 Se 2.92-2.94
Sm 0.5000 0.5000 0.5000  6 Se 2.92-2.94
Sm 0.0000 0.5000 0.5000  6 Se 2.92-2.94
Hf 0.0000 0.0000 0.5000  6 Se 2.72
Ag 0.0000 0.0000 0.0000  6 Se 2.90-2.91
Ag 0.0000 0.5000 0.0000  6 Se 2.90-2.92
Ag 0.5000 0.5000 0.0000  6 Se 2.90-2.92
Se 0.2490 0.4980 0.2485  3 Ag 2.90-2.92, 3 Sm 2.92
Se 0.7510 0.5020 0.7515  3 Ag 2.90-2.92, 3 Sm 2.92
Se 0.7661 0.5323 0.2646  1 Hf 2.72, 2 Ag 2.91, 2 Sm 2.94
Se 0.2339 0.4677 0.7354  1 Hf 2.72, 2 Ag 2.91, 2 Sm 2.94
Se 0.7662 0.9969 0.2644  1 Hf 2.72, 2 Ag 2.90-2.91, 2 Sm 2.94
Se 0.2338 0.0031 0.7356  1 Hf 2.72, 2 Ag 2.90-2.91, 2 Sm 2.94
Se 0.2308 0.9969 0.2644  1 Hf 2.72, 2 Ag 2.90-2.91, 2 Sm 2.94
Se 0.7692 0.0031 0.7356  1 Hf 2.72, 2 Ag 2.90-2.91, 2 Sm 2.94



2.
# Pr2AgPt

Crystalline Pr2AgPt at its relaxed geometry (PBE-GGA, Alexandria).

Results
Final energy ... -5.253 eV per atom
Space-group type ... P4/mmm
ΔE_f ... -2.6 eV/f.u.
Crystal system ... tetragonal
Total moment ... 0.00 μB per cell
D(E_F) ... 3.5 states/eV per cell

abc: 3.6984 3.6984 7.4576
angles: 90.00 90.00 90.00
Last column: nearest neighbours and their distance in Å.
Atoms (fractional coordinates):
Pr 0.0000 0.0000 0.7666  4 Pt 3.14, 4 Ag 3.29, 1 Pr 3.48
Pr 0.0000 0.0000 0.2334  4 Pt 3.14, 4 Ag 3.29, 1 Pr 3.48
Ag 0.5000 0.5000 0.5000  8 Pr 3.29
Pt 0.5000 0.5000 0.0000  8 Pr 3.14



3.
# La2MgAu

Crystalline La2MgAu at its relaxed geometry (PBE-GGA, Alexandria).

Results
Final energy ... -3.865 eV per atom
Space-group type ... I-42d
ΔE_f ... -0.7 eV/f.u.
Crystal system ... tetragonal
Total moment ... 0.00 μB per cell
D(E_F) ... 11.2 states/eV per cell

abc: 8.8304 8.8304 7.0275
angles: 51.08 51.08 90.00
Last column: nearest neighbours and their distance in Å.
Atoms (fractional coordinates):
Mg 0.5000 0.5000 0.0000  2 Au 3.22, 4 La 3.53
Mg 0.2500 0.7500 0.5000  2 Au 3.22, 4 La 3.53
Au 0.0000 0.0000 0.0000  4 La 2.95, 2 Mg 3.22
Au 0.7500 0.2500 0.5000  4 La 2.95, 2 Mg 3.22
La 0.6732 0.1250 0.2500  2 Au 2.95
La 0.0768 0.6250 0.2500  2 Au 2.95
La 0.3750 0.3268 0.7500  2 Au 2.95
La 0.8750 0.9232 0.7500  2 Au 2.95



4.
# NiTeCl2

Crystalline NiTeCl2 at its relaxed geometry (PBE-GGA, Alexandria).

Results
Final energy ... -3.388 eV per atom
Space-group type ... P2/m
Uncorrected formation energy ... -0.234 eV per atom
Relative energy among the computed polymorphs ... 0.661 eV per formula unit
Crystal system ... monoclinic
Total moment ... 1.21 μB per cell
D(E_F) ... 4.9 states/eV per cell

abc: 3.1772 6.6066 6.6263
angles: 49.32 90.00 90.00
Last column: nearest neighbours and their distance in Å.
Atoms (fractional coordinates):
Ni 0.5000 0.2500 0.2500  4 Cl 2.26
Te 0.5000 0.7500 0.7500  2 Ni 2.76
Cl 0.0000 0.1157 0.1163  2 Ni 2.26
Cl 0.0000 0.3843 0.3837  2 Ni 2.26



5.
# Tb2Ga3Cu4Sn

Crystalline Tb2Ga3Cu4Sn at its relaxed geometry (PBE-GGA, Alexandria).

Results
Final energy ... -4.279 eV per atom
Space-group type ... P-4m2
ΔE_f ... -4.1 eV/f.u.
Crystal system ... tetragonal
Total moment ... 0.00 μB per cell
D(E_F) ... 5.4 states/eV per cell

abc: 4.1872 4.1872 10.3299
angles: 90.00 90.00 90.00
Last column: nearest neighbours and their distance in Å.
Atoms (fractional coordinates):
Tb 0.5000 0.0000 0.2327  6 Ga 3.17-3.47, 8 Cu 3.19-3.21, 2 Sn 3.47
Tb 0.0000 0.5000 0.7673  6 Ga 3.17-3.47, 8 Cu 3.19-3.21, 2 Sn 3.47
Ga 0.0000 0.0000 0.5000  4 Cu 2.59
Ga 0.5000 0.0000 0.8758  5 Cu 2.36-2.46
Ga 0.0000 0.5000 0.1242  5 Cu 2.36-2.46
Cu 0.5000 0.5000 0.0000  4 Ga 2.46
Cu 0.0000 0.0000 0.0000  4 Ga 2.46
Cu 0.5000 0.0000 0.6469  3 Ga 2.36-2.59, 2 Sn 2.59
Cu 0.0000 0.5000 0.3531  3 Ga 2.36-2.59, 2 Sn 2.59
Sn 0.5000 0.5000 0.5000  4 Cu 2.59



6.
# Tm2Zn5Au3

Crystalline Tm2Zn5Au3 at its relaxed geometry (PBE-GGA, Alexandria).

Results
Final energy ... -2.987 eV per atom
Space-group type ... Cmc2_1
Relative energy among the computed polymorphs ... 0.000 eV per formula unit
ΔE_f ... -4.7 eV/f.u.
Crystal system ... orthorhombic
Total moment ... 0.00 μB per cell
D(E_F) ... 10.6 states/eV per cell

abc: 4.4520 6.8384 12.5080
angles: 90.00 100.25 90.00
Last column: nearest neighbours and their distance in Å.
Atoms (fractional coordinates):
Tm 0.4847 0.7688 0.9693  5 Au 2.92-3.13, 6 Zn 3.07-3.25
Tm 0.1765 0.7138 0.3529  4 Au 3.05-3.21, 10 Zn 3.05-3.27
Tm 0.8235 0.2138 0.6471  4 Au 3.05-3.21, 10 Zn 3.05-3.27
Tm 0.5153 0.2688 0.0307  5 Au 2.92-3.13, 6 Zn 3.07-3.25
Zn 0.3924 0.4428 0.7848  1 Zn 2.52, 3 Au 2.63-2.76
Zn 0.2912 0.4961 0.5824  2 Zn 2.52-2.65, 3 Au 2.61-2.62
Zn 0.7088 0.9961 0.4176  2 Zn 2.52-2.65, 3 Au 2.61-2.62
Zn 0.1242 0.2744 0.2484  4 Au 2.67-2.90, 1 Zn 2.74
Zn 0.2970 0.8826 0.5940  4 Au 2.59-2.69, 1 Zn 2.65
Zn 0.9477 0.0797 0.8955  4 Au 2.62-2.76, 1 Zn 2.74
Zn 0.7030 0.3826 0.4060  4 Au 2.59-2.69, 1 Zn 2.65
Zn 0.8758 0.7744 0.7516  4 Au 2.67-2.90, 1 Zn 2.74
Zn 0.0523 0.5797 0.1045  4 Au 2.62-2.76, 1 Zn 2.74
Zn 0.6076 0.9428 0.2152  1 Zn 2.52, 3 Au 2.63-2.76
Au 0.7701 0.6841 0.5401  7 Zn 2.61-2.69
Au 0.6073 0.5392 0.2145  4 Zn 2.59-2.76
Au 0.0515 0.9833 0.1031  5 Zn 2.63-2.76
Au 0.2299 0.1841 0.4599  7 Zn 2.61-2.69
Au 0.9485 0.4833 0.8969  5 Zn 2.63-2.76
Au 0.3927 0.0392 0.7855  4 Zn 2.59-2.76



7.
# KMgSnBr5

Crystalline KMgSnBr5 at its relaxed geometry (PBE-GGA, Alexandria).

Results
Final energy ... -3.114 eV per atom
Space-group type ... C2/c
Uncorrected formation energy ... -1.232 eV per atom
Crystal system ... monoclinic
Total moment ... 0.00 μB per cell
D(E_F) ... 0.0 states/eV per cell

abc: 7.7432 7.7432 11.4471
angles: 110.13 110.13 96.55
Last column: nearest neighbours and their distance in Å.
Atoms (fractional coordinates):
K 0.3308 0.6692 0.2500  7 Br 3.42-3.51
K 0.6692 0.3308 0.7500  7 Br 3.42-3.51
Mg 0.0000 0.0000 0.5000  6 Br 2.63-2.88
Mg 0.0000 0.0000 0.0000  6 Br 2.63-2.88
Sn 0.7556 0.2444 0.2500  5 Br 2.85-3.14
Sn 0.2444 0.7556 0.7500  5 Br 2.85-3.14
Br 0.0269 0.9731 0.2500  2 Mg 2.88, 1 Sn 3.14
Br 0.9731 0.0269 0.7500  2 Mg 2.88, 1 Sn 3.14
Br 0.9010 0.3228 0.0613  1 Mg 2.63
Br 0.0990 0.6772 0.9387  1 Mg 2.63
Br 0.6772 0.0990 0.4387  1 Mg 2.63
Br 0.3228 0.9010 0.5613  1 Mg 2.63
Br 0.7906 0.6343 0.4047  1 Mg 2.73, 1 Sn 2.85
Br 0.2094 0.3657 0.5953  1 Mg 2.73, 1 Sn 2.85
Br 0.3657 0.2094 0.0953  1 Mg 2.73, 1 Sn 2.85
Br 0.6343 0.7906 0.9047  1 Mg 2.73, 1 Sn 2.85



8.
# La2MgTl

Crystalline La2MgTl at its relaxed geometry (PBE-GGA, Alexandria).

Results
Final energy ... -3.724 eV per atom
Space-group type ... P4/mmm
Relative energy among the computed polymorphs ... 0.055 eV per formula unit
ΔE_f ... -1.1 eV/f.u.
Crystal system ... tetragonal
Total moment ... 0.00 μB per cell
D(E_F) ... 6.3 states/eV per cell

abc: 5.5809 5.5809 4.0222
angles: 90.00 90.00 90.00
Last column: nearest neighbours and their distance in Å.
Atoms (fractional coordinates):
Tl 0.0000 0.5000 0.5000  8 La 3.44
Mg 0.5000 0.0000 0.5000  8 La 3.44
La 0.0000 0.0000 0.0000  4 Tl 3.44, 4 Mg 3.44
La 0.5000 0.5000 0.0000  4 Tl 3.44, 4 Mg 3.44



9.
# KCdCl2

Crystalline KCdCl2 at its relaxed geometry (PBE-GGA, Alexandria).

Results
Final energy ... -2.465 eV per atom
Space-group type ... Cmmm
Uncorrected formation energy ... -1.039 eV per atom
Relative energy among the computed polymorphs ... 0.577 eV per formula unit
Crystal system ... orthorhombic
Total moment ... 0.00 μB per cell
D(E_F) ... 2.6 states/eV per cell

abc: 3.8587 3.8587 7.4389
angles: 90.00 90.00 99.72
Last column: nearest neighbours and their distance in Å.
Atoms (fractional coordinates):
K 0.5000 0.5000 0.2500  8 Cl 3.17-3.54
Cl 0.0000 0.0000 0.9862  2 Cd 3.05, 2 K 3.17
Cl 0.0000 0.0000 0.5138  2 Cd 3.05, 2 K 3.17
Cd 0.5000 0.5000 0.7500  4 Cl 3.05



10.
# Th2TiGa4Au3

Crystalline Th2TiGa4Au3 at its relaxed geometry (PBE-GGA, Alexandria).

Results
Final energy ... -5.020 eV per atom
Space-group type ... P-4m2
ΔE_f ... -5.5 eV/f.u.
Crystal system ... tetragonal
Total moment ... 0.00 μB per cell
D(E_F) ... 5.8 states/eV per cell

abc: 4.3058 4.3058 11.1068
angles: 90.00 90.00 90.00
Last column: nearest neighbours and their distance in Å.
Atoms (fractional coordinates):
Th 0.5000 0.0000 0.2510  8 Ga 3.28-3.52, 6 Au 3.31-3.50, 2 Ti 3.50
Th 0.0000 0.5000 0.7490  8 Ga 3.28-3.52, 6 Au 3.31-3.50, 2 Ti 3.50
Ti 0.5000 0.5000 0.5000  4 Ga 2.64
Ga 0.5000 0.5000 0.0000  4 Au 2.61
Ga 0.0000 0.0000 0.0000  4 Au 2.61
Ga 0.5000 0.0000 0.6382  3 Au 2.54-2.64, 2 Ti 2.64
Ga 0.0000 0.5000 0.3618  3 Au 2.54-2.64, 2 Ti 2.64
Au 0.0000 0.0000 0.5000  4 Ga 2.64
Au 0.5000 0.0000 0.8664  5 Ga 2.54-2.61
Au 0.0000 0.5000 0.1336  5 Ga 2.54-2.61



11.
# NaCuAg2Ir

Crystalline NaCuAg2Ir at its relaxed geometry (PBE-GGA, Alexandria).

Results
Final energy ... -2.859 eV per atom
Space-group type ... P4/mmm
ΔE_f ... 5.7 eV/f.u.
Crystal system ... tetragonal
Total moment ... 0.69 μB per cell
D(E_F) ... 3.6 states/eV per cell

abc: 4.7195 4.5604 4.7195
angles: 90.00 90.00 90.00
Last column: nearest neighbours and their distance in Å.
Atoms (fractional coordinates):
Na 0.0000 0.5000 0.0000  2 Cu 2.28
Ir 0.5000 0.5000 0.5000  8 Ag 3.28, 4 Na 3.34
Cu 0.0000 0.0000 0.0000  2 Na 2.28, 4 Ag 2.36
Ag 0.0000 0.0000 0.5000  2 Cu 2.36
Ag 0.5000 0.0000 0.0000  2 Cu 2.36